Crystalline Tb12Sm6In at its relaxed geometry. Source: Alexandria, functional PBE.

Unit cell a=8.519 b=8.519 c=8.519 alpha=88.87 beta=88.87 gamma=88.87
Atoms (fractional coordinates):
Tb (0.187, 0.359, 0.013)
Tb (0.779, 0.539, 0.435)
Sm (0.259, 0.094, 0.699)
Tb (0.221, 0.461, 0.565)
Tb (0.813, 0.641, 0.987)
Sm (0.741, 0.906, 0.301)
Tb (0.461, 0.565, 0.221)
Sm (0.699, 0.259, 0.094)
Tb (0.641, 0.987, 0.813)
Sm (0.094, 0.699, 0.259)
Tb (0.359, 0.013, 0.187)
Sm (0.906, 0.301, 0.741)
Tb (0.987, 0.813, 0.641)
Tb (0.013, 0.187, 0.359)
Sm (0.301, 0.741, 0.906)
Tb (0.565, 0.221, 0.461)
Tb (0.435, 0.779, 0.539)
In (0.000, 0.000, 0.000)
Tb (0.539, 0.435, 0.779)

DFT formation energy   67 meV/atom

Crystalline Ca3Zn2Sb4 at its relaxed geometry. Source: Alexandria, functional PBE.

Unit cell a=4.507 b=7.169 c=8.541 alpha=112.12 beta=105.30 gamma=89.99
Atoms (fractional coordinates):
Ca (0.862, 0.399, 0.725)
Sb (0.497, 0.699, 0.993)
Ca (0.000, 0.000, 0.000)
Zn (0.331, 0.023, 0.661)
Sb (0.503, 0.301, 0.007)
Ca (0.138, 0.601, 0.275)
Zn (0.669, 0.977, 0.339)
Sb (0.791, 0.782, 0.581)
Sb (0.209, 0.218, 0.419)

E_form (uncorrected)   -5.95 eV/f.u.

Crystalline Pm2SmPb2 at its relaxed geometry. Source: Alexandria, functional PBE.

Unit cell a=5.238 b=5.238 c=13.261 alpha=90.00 beta=90.00 gamma=120.00
Atoms (fractional coordinates):
Pm (0.667, 0.333, 0.750)
Sm (0.000, 0.000, 0.250)
Pb (0.333, 0.667, 0.877)
Pm (0.000, 0.000, 0.000)
Pb (0.667, 0.333, 0.377)
Sm (0.000, 0.000, 0.750)
Pb (0.667, 0.333, 0.123)
Pm (0.000, 0.000, 0.500)
Pm (0.333, 0.667, 0.250)
Pb (0.333, 0.667, 0.623)

DFT formation energy   -178 meV/atom

Crystalline Al2ReOs at its relaxed geometry. Source: Alexandria, functional PBE.

Unit cell a=6.936 b=6.936 c=5.573 alpha=51.52 beta=51.52 gamma=90.00
Site moments in Bohr magnetons follow the coordinates.
Atoms (fractional coordinates):
Al (0.638, 0.125, 0.250)  0.00
Al (0.112, 0.625, 0.250)  0.00
Os (0.750, 0.250, 0.500)  0.15
Al (0.375, 0.362, 0.750)  0.00
Re (0.500, 0.500, 0.000)  0.35
Os (0.000, 0.000, 0.000)  0.15
Re (0.250, 0.750, 0.500)  0.35
Al (0.875, 0.888, 0.750)  0.00

DFT formation energy   602 meV/atom

Crystalline CaCdF4 at its relaxed geometry. Source: Alexandria, functional PBE.

Unit cell a=3.890 b=3.890 c=5.502 alpha=90.04 beta=90.04 gamma=90.00
Atoms (fractional coordinates):
F (0.500, 0.500, 0.250)
F (0.000, 0.000, 0.750)
Cd (0.500, 0.000, 0.000)
F (0.500, 0.500, 0.750)
Ca (0.000, 0.500, 0.500)
F (0.000, 0.000, 0.250)

E_form (uncorrected)   -18.43 eV/f.u.

Crystalline BaGeBi2Pt at its relaxed geometry. Source: Alexandria, functional PBE.

Unit cell a=6.196 b=5.633 c=6.196 alpha=90.00 beta=90.00 gamma=90.00
Atoms (fractional coordinates):
Pt (0.500, 0.500, 0.500)
Ge (0.000, 0.500, 0.000)
Ba (0.000, 0.000, 0.000)
Bi (0.500, 0.000, 0.000)
Bi (0.000, 0.000, 0.500)

DFT formation energy   1607 meV/atom

Crystalline VGaCo4 at its relaxed geometry. Source: Alexandria, functional PBE.

Unit cell a=2.563 b=4.116 c=6.851 alpha=90.00 beta=90.08 gamma=89.98
Site moments in Bohr magnetons follow the coordinates.
Atoms (fractional coordinates):
V (0.000, 0.997, 0.498)  -0.44
Co (0.500, 0.997, 0.192)  0.96
Ga (0.501, 0.497, 0.998)  -0.06
Co (0.001, 0.497, 0.315)  1.00
Co (0.003, 0.497, 0.681)  1.00
Co (0.503, 0.997, 0.805)  0.95

DFT formation energy   87 meV/atom

Crystalline PdAuI6 at its relaxed geometry. Source: Alexandria, functional PBE.

Unit cell a=6.517 b=10.958 c=7.742 alpha=41.74 beta=70.35 gamma=71.16
Atoms (fractional coordinates):
I (0.780, 0.225, 0.583)
I (0.681, 0.079, 0.261)
I (0.140, 0.296, 0.830)
Pd (0.000, 0.000, 0.000)
I (0.220, 0.775, 0.417)
I (0.860, 0.704, 0.170)
I (0.319, 0.921, 0.739)
Au (0.500, 0.500, 0.500)

E_form (uncorrected)   -0.26 eV/f.u.

Crystalline ScCuAg2 at its relaxed geometry. Source: Alexandria, functional PBE.

Unit cell a=9.182 b=9.182 c=9.182 alpha=18.99 beta=18.99 gamma=18.99
Atoms (fractional coordinates):
Ag (0.506, 0.506, 0.506)
Ag (0.994, 0.994, 0.994)
Cu (0.250, 0.250, 0.250)
Sc (0.750, 0.750, 0.750)

DFT formation energy   94 meV/atom

Crystalline La2TbTl3 at its relaxed geometry. Source: Alexandria, functional PBE.

Unit cell a=3.832 b=6.838 c=14.943 alpha=90.00 beta=97.37 gamma=90.00
Atoms (fractional coordinates):
Tl (0.578, 0.512, 0.157)
La (0.994, 0.750, 0.987)
Tl (0.422, 0.012, 0.843)
Tl (0.422, 0.488, 0.843)
La (0.844, 0.250, 0.687)
La (0.156, 0.750, 0.313)
Tb (0.333, 0.750, 0.667)
Tb (0.667, 0.250, 0.333)
La (0.006, 0.250, 0.013)
Tl (0.749, 0.750, 0.497)
Tl (0.251, 0.250, 0.503)
Tl (0.578, 0.988, 0.157)

DFT formation energy   -252 meV/atom

Crystalline Ta2SiTc at its relaxed geometry. Source: Alexandria, functional PBE.

Unit cell a=8.795 b=8.795 c=8.795 alpha=19.39 beta=19.39 gamma=19.39
Atoms (fractional coordinates):
Si (0.756, 0.756, 0.756)
Ta (0.006, 0.006, 0.006)
Ta (0.244, 0.244, 0.244)
Tc (0.494, 0.494, 0.494)

E_form (uncorrected)   0.03 eV/f.u.

Crystalline LiPm2DyTe4 at its relaxed geometry. Source: Alexandria, functional PBE.

Unit cell a=4.376 b=7.597 c=7.636 alpha=109.18 beta=90.00 gamma=90.00
Atoms (fractional coordinates):
Pm (0.500, 0.000, 0.500)
Te (0.000, 0.752, 0.237)
Te (0.500, 0.760, 0.766)
Dy (0.500, 0.500, 0.000)
Li (0.000, 0.000, 0.000)
Te (0.500, 0.240, 0.234)
Pm (0.000, 0.500, 0.500)
Te (0.000, 0.248, 0.763)

E_form (uncorrected)   -10.82 eV/f.u.

Question: Number 9 is which compound?
Answer: ScCuAg2